Entry 1:
Pm3NdSm2Se6 | PBE | optimized geometry

Summary:
Symmetry   No. 12

abc: 7.2714 7.2714 7.2705
angles: 99.56 99.56 120.27
With the nearest neighbours (Å) after each atom.
Sites, in units of the cell vectors:
Pm (0.1647, 0.8353, 0.5000)  6 Se 2.97
Pm (0.8353, 0.1647, 0.5000)  6 Se 2.97
Pm (0.5000, 0.5000, 0.5000)  6 Se 2.95-2.98
Nd (0.0000, 0.0000, 0.0000)  6 Se 2.98-2.99
Sm (0.3336, 0.6664, 0.0000)  6 Se 2.95-2.96
Sm (0.6664, 0.3336, 0.0000)  6 Se 2.95-2.96
Se (0.9167, 0.5801, 0.7499)  2 Sm 2.95-2.96, 3 Pm 2.97-2.98, 1 Nd 2.99
Se (0.7462, 0.7462, 0.2485)  2 Sm 2.95, 3 Pm 2.95-2.97, 1 Nd 2.98
Se (0.0833, 0.4199, 0.2501)  2 Sm 2.95-2.96, 3 Pm 2.97-2.98, 1 Nd 2.99
Se (0.5801, 0.9167, 0.7499)  2 Sm 2.95-2.96, 3 Pm 2.97-2.98, 1 Nd 2.99
Se (0.2538, 0.2538, 0.7515)  2 Sm 2.95, 3 Pm 2.95-2.97, 1 Nd 2.98
Se (0.4199, 0.0833, 0.2501)  2 Sm 2.95-2.96, 3 Pm 2.97-2.98, 1 Nd 2.99

Entry 2:
Pm2NdSm3Se6 | PBE | optimized geometry

Summary:
Symmetry   No. 12

abc: 7.2623 7.2623 7.2682
angles: 99.56 99.56 120.28
With the nearest neighbours (Å) after each atom.
Sites, in units of the cell vectors:
Pm (0.3335, 0.6665, 0.0000)  6 Se 2.97
Pm (0.6665, 0.3335, 0.0000)  6 Se 2.97
Nd (0.0000, 0.0000, 0.0000)  6 Se 2.98-2.99
Sm (0.1657, 0.8343, 0.5000)  6 Se 2.95
Sm (0.8343, 0.1657, 0.5000)  6 Se 2.95
Sm (0.5000, 0.5000, 0.5000)  6 Se 2.94-2.96
Se (0.9156, 0.5804, 0.7467)  3 Sm 2.95-2.96, 2 Pm 2.97, 1 Nd 2.99
Se (0.7492, 0.7492, 0.2527)  3 Sm 2.94-2.95, 2 Pm 2.97, 1 Nd 2.98
Se (0.0844, 0.4196, 0.2533)  3 Sm 2.95-2.96, 2 Pm 2.97, 1 Nd 2.99
Se (0.5804, 0.9156, 0.7467)  3 Sm 2.95-2.96, 2 Pm 2.97, 1 Nd 2.99
Se (0.2508, 0.2508, 0.7473)  3 Sm 2.94-2.95, 2 Pm 2.97, 1 Nd 2.98
Se (0.4196, 0.0844, 0.2533)  3 Sm 2.95-2.96, 2 Pm 2.97, 1 Nd 2.99

Let's list formation energy from raw total energies in order: -1.8320 -1.8293 eV per atom.